[1]
Density functional theory data (GGA-PBEsol) for an optimized crystal structure of TaIN2.

Cell and atoms, written as POSCAR:
```
TaIN2
1.0
-5.351 -3.095 -0.898
-1.523 -4.759 3.750
-4.688 0.617 4.083
Ta N I
2 4 2
direct
0.500 0.500 0.500
0.750 0.750 0.750
0.625 0.125 0.625
0.625 0.625 0.625
0.625 0.625 0.125
0.125 0.625 0.625
0.000 0.000 0.000
0.250 0.250 0.250
```

Summary:
Magnetization ... 1.8 μB/f.u.
DFT total energy ... -31.34 eV/f.u.
Theoretical density ... 6.47 g cm⁻³
Space group ... Fd-3m (227)


[2]
Density functional theory data (GGA-PBEsol) for an optimized crystal structure of TaI2N2.

Cell and atoms, written as POSCAR:
```
TaI2N2
1.0
-1.654 3.742 -0.680
-2.011 -1.490 -3.308
-4.592 -1.407 3.426
Ta I N
1 2 2
direct
0.000 0.000 0.000
0.500 0.500 0.500
0.000 0.000 0.500
0.500 0.000 0.000
0.000 0.500 0.000
```

Summary:
Magnetization ... 0.8 μB/f.u.
DFT total energy ... -30.40 eV/f.u.
Theoretical density ... 7.57 g cm⁻³
Space group ... P4/mmm (123)


[3]
Density functional theory data (GGA-PBEsol) for an optimized crystal structure of TaTe2IN.

Cell and atoms, written as POSCAR:
```
TaTe2IN
1.0
3.836 0.000 0.000
0.000 5.687 0.000
0.000 0.000 5.687
Te Ta I N
2 1 1 1
direct
0.000 0.500 0.000
0.000 0.000 0.500
0.500 0.500 0.500
0.000 0.000 0.000
0.500 0.000 0.000
```

Summary:
Magnetization ... 2.3 μB/f.u.
Theoretical density ... 7.72 g cm⁻³
Space group ... P4/mmm (123)
Polymorph energy (0 for the lowest one) ... 575 meV/atom


Question: Number 1 is which compound?
Answer: TaIN2


Copy entry 1 word for word.
Density functional theory data (GGA-PBEsol) for an optimized crystal structure of TaIN2.

Cell and atoms, written as POSCAR:
```
TaIN2
1.0
-5.351 -3.095 -0.898
-1.523 -4.759 3.750
-4.688 0.617 4.083
Ta N I
2 4 2
direct
0.500 0.500 0.500
0.750 0.750 0.750
0.625 0.125 0.625
0.625 0.625 0.625
0.625 0.625 0.125
0.125 0.625 0.625
0.000 0.000 0.000
0.250 0.250 0.250
```

Summary:
Magnetization ... 1.8 μB/f.u.
DFT total energy ... -31.34 eV/f.u.
Theoretical density ... 6.47 g cm⁻³
Space group ... Fd-3m (227)


Question: The highest magnetization belongs to which entry?
Answer: TaTe2IN


Repeat the first record exactly.
Density functional theory data (GGA-PBEsol) for an optimized crystal structure of TaIN2.

Cell and atoms, written as POSCAR:
```
TaIN2
1.0
-5.351 -3.095 -0.898
-1.523 -4.759 3.750
-4.688 0.617 4.083
Ta N I
2 4 2
direct
0.500 0.500 0.500
0.750 0.750 0.750
0.625 0.125 0.625
0.625 0.625 0.625
0.625 0.625 0.125
0.125 0.625 0.625
0.000 0.000 0.000
0.250 0.250 0.250
```

Summary:
Magnetization ... 1.8 μB/f.u.
DFT total energy ... -31.34 eV/f.u.
Theoretical density ... 6.47 g cm⁻³
Space group ... Fd-3m (227)